--- a ---
A plane-wave DFT calculation with GGA-PBE was carried out for an optimized crystal structure of Mo2WI.

## Properties
crystal system	cubic
density	11.91	g cm⁻³
SG	Fm-3m

Cell and atoms, written as POSCAR:
```
Mo2WI
1.0
0.000 3.272 3.272
3.272 0.000 3.272
3.272 3.272 0.000
Mo W I
2 1 1
Cartesian
1.636 1.636 1.636 Mo
4.908 4.908 4.908 Mo
0.000 0.000 0.000 W
3.272 3.272 3.272 I
```



--- b ---
A plane-wave DFT calculation with GGA-PBE was carried out for an optimized crystal structure of Mo2WI.

## Properties
crystal system	tetragonal
density	10.98	g cm⁻³
SG	I-42d

Cell and atoms, written as POSCAR:
```
Mo2WI
1.0
-1.969 1.969 9.801
1.969 -1.969 9.801
1.969 1.969 -9.801
Mo W I
4 2 2
Cartesian
2.954 0.877 -2.450 Mo
0.877 0.985 2.450 Mo
-0.985 1.092 7.351 Mo
1.092 0.985 12.251 Mo
0.000 0.000 0.000 W
0.000 1.969 4.900 W
1.969 0.000 4.900 I
0.000 0.000 9.801 I
```



Most favorable first, least favorable last: a, b



--- a ---
A plane-wave DFT calculation with GGA-PBE was carried out for an optimized crystal structure of YMoI2.

## Properties
crystal system	tetragonal
density	5.96	g cm⁻³
SG	I-42d

Cell and atoms, written as POSCAR:
```
YMoI2
1.0
-2.571 2.571 9.237
2.571 -2.571 9.237
2.571 2.571 -9.237
Y Mo I
2 2 4
Cartesian
0.000 0.000 0.000 Y
0.000 2.571 4.618 Y
2.571 0.000 4.618 Mo
0.000 0.000 9.237 Mo
1.286 -1.170 6.928 I
1.401 1.286 2.309 I
1.286 3.741 -2.309 I
1.170 1.286 11.546 I
```



--- b ---
A plane-wave DFT calculation with GGA-PBE was carried out for an optimized crystal structure of YMoI2.

## Properties
crystal system	cubic
density	7.35	g cm⁻³
SG	Fm-3m

Cell and atoms, written as POSCAR:
```
YMoI2
1.0
0.000 3.672 3.672
3.672 0.000 3.672
3.672 3.672 0.000
Y Mo I
1 1 2
Cartesian
0.000 0.000 0.000 Y
3.672 3.672 3.672 Mo
1.836 1.836 1.836 I
5.508 5.508 5.508 I
```



Most favorable first, least favorable last: b, a



--- a ---
A plane-wave DFT calculation with GGA-PBE was carried out for an optimized crystal structure of Y2MoI.

## Properties
crystal system	tetragonal
density	4.63	g cm⁻³
SG	I-42d

Cell and atoms, written as POSCAR:
```
Y2MoI
1.0
-3.392 3.392 6.248
3.392 -3.392 6.248
3.392 3.392 -6.248
Y Mo I
4 2 2
Cartesian
5.089 1.181 -1.562 Y
1.181 1.696 1.562 Y
-1.696 2.211 4.686 Y
2.211 1.696 7.810 Y
0.000 0.000 0.000 Mo
0.000 3.392 3.124 Mo
3.392 0.000 3.124 I
0.000 0.000 6.248 I
```



--- b ---
A plane-wave DFT calculation with GGA-PBE was carried out for an optimized crystal structure of Y2MoI.

## Properties
crystal system	cubic
density	6.68	g cm⁻³
SG	Fm-3m

Cell and atoms, written as POSCAR:
```
Y2MoI
1.0
0.000 3.679 3.679
3.679 0.000 3.679
3.679 3.679 0.000
Y Mo I
2 1 1
Cartesian
1.839 1.839 1.839 Y
5.518 5.518 5.518 Y
0.000 0.000 0.000 Mo
3.679 3.679 3.679 I
```



Most favorable first, least favorable last: b, a